Record 1
# PBE-GGA Tl4Hg5Pb, relaxed
# * space-group type: P4/mmm (123)
# * DFT formation energy: 0.04 kcal/mol of atoms
# * energy above the lowest structure with this stoichiometry: 0.005 eV/atom
# * DOS at the Fermi energy: 0.448 states/eV/atom
# * E: -14.66 eV/cell
data_Tl4Hg5Pb
_chemical_formula_sum 'Tl4 Hg5 Pb1'
_cell_length_a 3.414
_cell_length_b 3.414
_cell_length_c 24.470
_cell_angle_alpha 90.00
_cell_angle_beta 90.00
_cell_angle_gamma 90.00
_space_group_name_H-M_alt 'P 1'
_space_group_IT_number 1
_space_group_name_Hall 'P 1'
loop_
_atom_site_label
_atom_site_type_symbol
_atom_site_fract_x
_atom_site_fract_y
_atom_site_fract_z
_atom_site_occupancy
Tl1 Tl 0.000 0.000 0.197 1
Tl2 Tl 0.000 0.000 0.399 1
Tl3 Tl 0.000 0.000 0.601 1
Tl4 Tl 0.000 0.000 0.803 1
Hg1 Hg 0.500 0.500 0.100 1
Hg2 Hg 0.500 0.500 0.299 1
Hg3 Hg 0.500 0.500 0.500 1
Hg4 Hg 0.500 0.500 0.701 1
Hg5 Hg 0.500 0.500 0.900 1
Pb1 Pb 0.000 0.000 0.000 1

***

Record 2
# PBE-GGA Tl8Hg2Pb3, relaxed
# * space-group type: C2/m (12)
# * DFT formation energy: 1.00 kcal/mol of atoms
# * energy above the lowest structure with this stoichiometry: 0.000 eV/atom
# * DOS at the Fermi energy: 0.422 states/eV/atom
# * E: -30.10 eV/cell
data_Tl8Hg2Pb3
_chemical_formula_sum 'Tl8 Hg2 Pb3'
_cell_length_a 5.521
_cell_length_b 9.151
_cell_length_c 9.151
_cell_angle_alpha 67.55
_cell_angle_beta 75.98
_cell_angle_gamma 75.98
_space_group_name_H-M_alt 'P 1'
_space_group_IT_number 1
_space_group_name_Hall 'P 1'
loop_
_atom_site_label
_atom_site_type_symbol
_atom_site_fract_x
_atom_site_fract_y
_atom_site_fract_z
_atom_site_occupancy
Tl1 Tl 0.219 0.562 0.562 1
Tl2 Tl 0.781 0.438 0.438 1
Tl3 Tl 0.879 0.178 0.178 1
Tl4 Tl 0.121 0.822 0.822 1
Tl5 Tl 0.651 0.605 0.060 1
Tl6 Tl 0.651 0.060 0.605 1
Tl7 Tl 0.349 0.940 0.395 1
Tl8 Tl 0.349 0.395 0.940 1
Hg1 Hg 0.323 0.322 0.322 1
Hg2 Hg 0.677 0.678 0.678 1
Pb1 Pb 0.500 0.000 0.000 1
Pb2 Pb 0.000 0.211 0.789 1
Pb3 Pb 0.000 0.789 0.211 1

***

Record 3
# PBE-GGA Tl3Hg5Pb, relaxed
# * space-group type: P6_3/mcm (193)
# * DFT formation energy: 0.25 kcal/mol of atoms
# * DOS at the Fermi energy: 0.442 states/eV/atom
# * E: -24.44 eV/cell
data_Tl3Hg5Pb
_chemical_formula_sum 'Tl6 Hg10 Pb2'
_cell_length_a 6.670
_cell_length_b 9.560
_cell_length_c 9.560
_cell_angle_alpha 120.00
_cell_angle_beta 90.00
_cell_angle_gamma 90.00
_space_group_name_H-M_alt 'P 1'
_space_group_IT_number 1
_space_group_name_Hall 'P 1'
loop_
_atom_site_label
_atom_site_type_symbol
_atom_site_fract_x
_atom_site_fract_y
_atom_site_fract_z
_atom_site_occupancy
Tl1 Tl 0.750 0.366 0.000 1
Tl2 Tl 0.750 0.634 0.634 1
Tl3 Tl 0.750 0.000 0.366 1
Tl4 Tl 0.250 0.634 0.000 1
Tl5 Tl 0.250 0.366 0.366 1
Tl6 Tl 0.250 0.000 0.634 1
Hg1 Hg 0.000 0.333 0.667 1
Hg2 Hg 0.500 0.667 0.333 1
Hg3 Hg 0.000 0.667 0.333 1
Hg4 Hg 0.500 0.333 0.667 1
Hg5 Hg 0.750 0.698 0.000 1
Hg6 Hg 0.750 0.302 0.302 1
Hg7 Hg 0.750 0.000 0.698 1
Hg8 Hg 0.250 0.302 0.000 1
Hg9 Hg 0.250 0.698 0.698 1
Hg10 Hg 0.250 0.000 0.302 1
Pb1 Pb 0.000 0.000 0.000 1
Pb2 Pb 0.500 0.000 0.000 1

***

Record 4
# PBE-GGA Tl6Hg23Pb, relaxed
# * space-group type: Fm-3m (225)
# * DFT formation energy: 0.08 kcal/mol of atoms
# * DOS at the Fermi energy: 0.456 states/eV/atom
# * E: -24.74 eV/cell
data_Tl6Hg23Pb
_chemical_formula_sum 'Tl6 Hg23 Pb1'
_cell_length_a 10.626
_cell_length_b 10.626
_cell_length_c 10.626
_cell_angle_alpha 60.00
_cell_angle_beta 60.00
_cell_angle_gamma 60.00
_space_group_name_H-M_alt 'P 1'
_space_group_IT_number 1
_space_group_name_Hall 'P 1'
loop_
_atom_site_label
_atom_site_type_symbol
_atom_site_fract_x
_atom_site_fract_y
_atom_site_fract_z
_atom_site_occupancy
Tl1 Tl 0.780 0.780 0.220 1
Tl2 Tl 0.220 0.220 0.780 1
Tl3 Tl 0.780 0.220 0.220 1
Tl4 Tl 0.220 0.780 0.780 1
Tl5 Tl 0.780 0.220 0.780 1
Tl6 Tl 0.220 0.780 0.220 1
Hg1 Hg 0.547 0.151 0.151 1
Hg2 Hg 0.453 0.849 0.849 1
Hg3 Hg 0.151 0.151 0.547 1
Hg4 Hg 0.151 0.151 0.151 1
Hg5 Hg 0.849 0.849 0.453 1
Hg6 Hg 0.849 0.849 0.849 1
Hg7 Hg 0.151 0.547 0.151 1
Hg8 Hg 0.849 0.453 0.849 1
Hg9 Hg 0.500 0.500 0.000 1
Hg10 Hg 0.000 0.000 0.500 1
Hg11 Hg 0.500 0.000 0.000 1
Hg12 Hg 0.000 0.500 0.500 1
Hg13 Hg 0.500 0.000 0.500 1
Hg14 Hg 0.000 0.500 0.000 1
Hg15 Hg 0.873 0.376 0.376 1
Hg16 Hg 0.127 0.624 0.624 1
Hg17 Hg 0.376 0.376 0.873 1
Hg18 Hg 0.376 0.376 0.376 1
Hg19 Hg 0.624 0.624 0.127 1
Hg20 Hg 0.624 0.624 0.624 1
Hg21 Hg 0.376 0.873 0.376 1
Hg22 Hg 0.624 0.127 0.624 1
Hg23 Hg 0.000 0.000 0.000 1
Pb1 Pb 0.500 0.500 0.500 1

***

Record 5
# PBE-GGA Tl5Hg6Pb2, relaxed
# * space-group type: P-1 (2)
# * DFT formation energy: 0.06 kcal/mol of atoms
# * DOS at the Fermi energy: 0.386 states/eV/atom
# * E: -21.02 eV/cell
data_Tl5Hg6Pb2
_chemical_formula_sum 'Tl5 Hg6 Pb2'
_cell_length_a 8.491
_cell_length_b 9.820
_cell_length_c 11.533
_cell_angle_alpha 46.65
_cell_angle_beta 33.01
_cell_angle_gamma 58.46
_space_group_name_H-M_alt 'P 1'
_space_group_IT_number 1
_space_group_name_Hall 'P 1'
loop_
_atom_site_label
_atom_site_type_symbol
_atom_site_fract_x
_atom_site_fract_y
_atom_site_fract_z
_atom_site_occupancy
Tl1 Tl 0.751 0.618 0.172 1
Tl2 Tl 0.249 0.382 0.828 1
Tl3 Tl 0.627 0.688 0.909 1
Tl4 Tl 0.373 0.312 0.091 1
Tl5 Tl 0.000 0.000 0.000 1
Hg1 Hg 0.920 0.552 0.391 1
Hg2 Hg 0.554 0.224 0.310 1
Hg3 Hg 0.304 0.848 0.471 1
Hg4 Hg 0.080 0.448 0.609 1
Hg5 Hg 0.446 0.776 0.690 1
Hg6 Hg 0.696 0.152 0.529 1
Pb1 Pb 0.153 0.904 0.255 1
Pb2 Pb 0.847 0.096 0.745 1

***

Record 6
# PBE-GGA Tl3Hg2Pb6, relaxed
# * space-group type: P-1 (2)
# * DFT formation energy: 0.31 kcal/mol of atoms
# * DOS at the Fermi energy: 0.447 states/eV/atom
# * E: -29.80 eV/cell
data_Tl3Hg2Pb6
_chemical_formula_sum 'Tl3 Hg2 Pb6'
_cell_length_a 6.139
_cell_length_b 3.571
_cell_length_c 16.182
_cell_angle_alpha 102.77
_cell_angle_beta 88.57
_cell_angle_gamma 106.45
_space_group_name_H-M_alt 'P 1'
_space_group_IT_number 1
_space_group_name_Hall 'P 1'
loop_
_atom_site_label
_atom_site_type_symbol
_atom_site_fract_x
_atom_site_fract_y
_atom_site_fract_z
_atom_site_occupancy
Tl1 Tl 0.000 0.000 0.000 1
Tl2 Tl 0.814 0.277 0.365 1
Tl3 Tl 0.186 0.723 0.635 1
Hg1 Hg 0.370 0.456 0.273 1
Hg2 Hg 0.630 0.544 0.727 1
Pb1 Pb 0.075 0.354 0.814 1
Pb2 Pb 0.533 0.171 0.905 1
Pb3 Pb 0.925 0.646 0.186 1
Pb4 Pb 0.467 0.829 0.095 1
Pb5 Pb 0.720 0.916 0.552 1
Pb6 Pb 0.280 0.084 0.448 1

***

Record 7
# PBE-GGA Tl2Hg2Pb, relaxed
# * space-group type: I4/mmm (139)
# * DFT formation energy: 3.08 kcal/mol of atoms
# * energy above the lowest structure with this stoichiometry: 0.120 eV/atom
# * DOS at the Fermi energy: 0.582 states/eV/atom
# * E: -8.38 eV/cell
data_Tl2Hg2Pb
_chemical_formula_sum 'Tl2 Hg2 Pb1'
_cell_length_a 4.465
_cell_length_b 4.465
_cell_length_c 8.316
_cell_angle_alpha 74.43
_cell_angle_beta 74.43
_cell_angle_gamma 90.00
_space_group_name_H-M_alt 'P 1'
_space_group_IT_number 1
_space_group_name_Hall 'P 1'
loop_
_atom_site_label
_atom_site_type_symbol
_atom_site_fract_x
_atom_site_fract_y
_atom_site_fract_z
_atom_site_occupancy
Pb1 Pb 0.000 0.000 0.000 1
Tl1 Tl 0.750 0.250 0.500 1
Tl2 Tl 0.250 0.750 0.500 1
Hg1 Hg 0.406 0.406 0.189 1
Hg2 Hg 0.594 0.594 0.811 1

***

Record 8
# PBE-GGA TlHg2Pb, relaxed
# * space-group type: Pm (6)
# * DFT formation energy: 0.28 kcal/mol of atoms
# * DOS at the Fermi energy: 0.354 states/eV/atom
# * E: -6.63 eV/cell
data_TlHg2Pb
_chemical_formula_sum 'Tl1 Hg2 Pb1'
_cell_length_a 5.773
_cell_length_b 3.305
_cell_length_c 6.226
_cell_angle_alpha 84.82
_cell_angle_beta 90.00
_cell_angle_gamma 90.00
_space_group_name_H-M_alt 'P 1'
_space_group_IT_number 1
_space_group_name_Hall 'P 1'
loop_
_atom_site_label
_atom_site_type_symbol
_atom_site_fract_x
_atom_site_fract_y
_atom_site_fract_z
_atom_site_occupancy
Pb1 Pb 0.000 0.266 0.525 1
Tl1 Tl 0.500 0.734 0.721 1
Hg1 Hg 0.000 0.066 0.028 1
Hg2 Hg 0.500 0.434 0.226 1

***

Record 9
# PBE-GGA Tl5Hg3Pb2, relaxed
# * space-group type: C2/c (15)
# * DFT formation energy: 0.21 kcal/mol of atoms
# * DOS at the Fermi energy: 0.476 states/eV/atom
# * E: -40.13 eV/cell
data_Tl5Hg3Pb2
_chemical_formula_sum 'Tl10 Hg6 Pb4'
_cell_length_a 6.556
_cell_length_b 9.854
_cell_length_c 9.854
_cell_angle_alpha 110.26
_cell_angle_beta 91.20
_cell_angle_gamma 91.20
_space_group_name_H-M_alt 'P 1'
_space_group_IT_number 1
_space_group_name_Hall 'P 1'
loop_
_atom_site_label
_atom_site_type_symbol
_atom_site_fract_x
_atom_site_fract_y
_atom_site_fract_z
_atom_site_occupancy
Tl1 Tl 0.607 0.280 0.977 1
Tl2 Tl 0.107 0.977 0.280 1
Tl3 Tl 0.393 0.720 0.023 1
Tl4 Tl 0.893 0.023 0.720 1
Tl5 Tl 0.983 0.705 0.808 1
Tl6 Tl 0.017 0.295 0.192 1
Tl7 Tl 0.750 0.547 0.453 1
Tl8 Tl 0.250 0.453 0.547 1
Tl9 Tl 0.517 0.192 0.295 1
Tl10 Tl 0.483 0.808 0.705 1
Hg1 Hg 0.625 0.466 0.770 1
Hg2 Hg 0.125 0.770 0.466 1
Hg3 Hg 0.375 0.534 0.230 1
Hg4 Hg 0.875 0.230 0.534 1
Hg5 Hg 0.250 0.042 0.958 1
Hg6 Hg 0.750 0.958 0.042 1
Pb1 Pb 0.879 0.622 0.128 1
Pb2 Pb 0.379 0.128 0.622 1
Pb3 Pb 0.121 0.378 0.872 1
Pb4 Pb 0.621 0.872 0.378 1

***

Record 10
# PBE-GGA TlHg2Pb, relaxed
# * space-group type: Immm (71)
# * DFT formation energy: 0.66 kcal/mol of atoms
# * DOS at the Fermi energy: 0.541 states/eV/atom
# * E: -6.56 eV/cell
data_TlHg2Pb
_chemical_formula_sum 'Tl1 Hg2 Pb1'
_cell_length_a 6.401
_cell_length_b 6.401
_cell_length_c 6.401
_cell_angle_alpha 145.99
_cell_angle_beta 127.22
_cell_angle_gamma 64.28
_space_group_name_H-M_alt 'P 1'
_space_group_IT_number 1
_space_group_name_Hall 'P 1'
loop_
_atom_site_label
_atom_site_type_symbol
_atom_site_fract_x
_atom_site_fract_y
_atom_site_fract_z
_atom_site_occupancy
Pb1 Pb 0.750 0.250 0.500 1
Tl1 Tl 0.250 0.750 0.500 1
Hg1 Hg 0.000 0.000 0.000 1
Hg2 Hg 0.500 0.500 0.000 1

***

Record 11
# PBE-GGA Tl2Hg2Pb, relaxed
# * space-group type: P4/mbm (127)
# * DFT formation energy: 1.54 kcal/mol of atoms
# * energy above the lowest structure with this stoichiometry: 0.054 eV/atom
# * DOS at the Fermi energy: 0.539 states/eV/atom
# * E: -17.42 eV/cell
data_Tl2Hg2Pb
_chemical_formula_sum 'Tl4 Hg4 Pb2'
_cell_length_a 8.789
_cell_length_b 8.789
_cell_length_c 3.877
_cell_angle_alpha 90.00
_cell_angle_beta 90.00
_cell_angle_gamma 90.00
_space_group_name_H-M_alt 'P 1'
_space_group_IT_number 1
_space_group_name_Hall 'P 1'
loop_
_atom_site_label
_atom_site_type_symbol
_atom_site_fract_x
_atom_site_fract_y
_atom_site_fract_z
_atom_site_occupancy
Pb1 Pb 0.000 0.000 0.000 1
Pb2 Pb 0.500 0.500 0.000 1
Tl1 Tl 0.358 0.858 0.000 1
Tl2 Tl 0.858 0.642 0.000 1
Tl3 Tl 0.642 0.142 0.000 1
Tl4 Tl 0.142 0.358 0.000 1
Hg1 Hg 0.158 0.658 0.500 1
Hg2 Hg 0.658 0.842 0.500 1
Hg3 Hg 0.842 0.342 0.500 1
Hg4 Hg 0.342 0.158 0.500 1

***

Record 12
# PBE-GGA TlHg2Pb, relaxed
# * space-group type: Cm (8)
# * DFT formation energy: 0.36 kcal/mol of atoms
# * DOS at the Fermi energy: 0.293 states/eV/atom
# * E: -6.62 eV/cell
data_TlHg2Pb
_chemical_formula_sum 'Tl1 Hg2 Pb1'
_cell_length_a 3.384
_cell_length_b 5.703
_cell_length_c 6.278
_cell_angle_alpha 83.44
_cell_angle_beta 105.64
_cell_angle_gamma 90.00
_space_group_name_H-M_alt 'P 1'
_space_group_IT_number 1
_space_group_name_Hall 'P 1'
loop_
_atom_site_label
_atom_site_type_symbol
_atom_site_fract_x
_atom_site_fract_y
_atom_site_fract_z
_atom_site_occupancy
Hg1 Hg 0.040 0.109 0.080 1
Hg2 Hg 0.208 0.644 0.416 1
Pb1 Pb 0.467 0.610 0.933 1
Tl1 Tl 0.785 0.137 0.570 1

***

- The highest DOS at the Fermi energy belongs to which entry?
  number 7